1.
The following is a DFT calculation (PBE) of AlFeHgMo after structural relaxation.

Cell: 4.487 4.487 4.487 Å, 60.00 60.00 60.00°
Positions (direct):
Mo: 0.250 0.250 0.250
Al: 0.000 0.000 0.000
Hg: 0.500 0.500 0.500
Fe: 0.750 0.750 0.750

Values from the calculation:
Electronic total energy ... -5.3500 eV per atom
M_tot ... 3.33 μB per cell
Calculated volume ... 16.0 Å³/atom

2.
The following is a DFT calculation (PBE) of Y2HoAl3FeCu2 after structural relaxation.

Cell: 3.793 7.170 7.170 Å, 119.89 90.00 90.00°
Last column: magnetic moment on the atom in μB.
Positions (direct):
Al: 0.500 0.000 0.240  0.00
Al: 0.500 0.760 0.760  0.00
Al: 0.500 0.240 0.000  0.00
Y: 0.000 0.000 0.583  0.03
Y: 0.000 0.583 0.000  0.03
Ho: 0.000 0.416 0.416  0.06
Cu: 0.500 0.664 0.335  0.02
Cu: 0.500 0.335 0.664  0.02
Fe: 0.000 0.003 0.003  1.77

Values from the calculation:
Electronic total energy ... -5.3241 eV per atom
M_tot ... 2.09 μB per cell
Calculated volume ... 18.8 Å³/atom

3.
The following is a DFT calculation (PBE) of Al4Co25 after structural relaxation.

Cell: 7.464 7.464 7.464 Å, 109.47 109.47 109.47°
Last column: magnetic moment on the atom in μB.
Positions (direct):
Al: 0.000 0.644 0.000  -0.04
Al: 0.644 0.000 0.000  -0.03
Al: 0.356 0.356 0.356  -0.03
Al: 0.000 0.000 0.644  -0.04
Co: 0.714 0.319 0.319  1.47
Co: 0.816 0.624 0.624  1.46
Co: 0.681 0.000 0.396  1.43
Co: 0.319 0.714 0.319  1.44
Co: 0.681 0.396 0.000  1.44
Co: 0.604 0.604 0.286  1.48
Co: 0.000 0.000 0.000  1.34
Co: 0.396 0.681 0.000  1.46
Co: 0.624 0.816 0.624  1.47
Co: 0.604 0.286 0.604  1.46
Co: 0.286 0.604 0.604  1.46
Co: 0.000 0.376 0.192  1.48
Co: 0.319 0.319 0.714  1.43
Co: 0.624 0.624 0.816  1.49
Co: 0.000 0.396 0.681  1.46
Co: 0.000 0.192 0.376  1.49
Co: 0.376 0.000 0.192  1.48
Co: 0.192 0.376 0.000  1.48
Co: 0.376 0.192 0.000  1.47
Co: 0.808 0.808 0.184  1.48
Co: 0.000 0.681 0.396  1.44
Co: 0.192 0.000 0.376  1.49
Co: 0.396 0.000 0.681  1.47
Co: 0.808 0.184 0.808  1.47
Co: 0.184 0.808 0.808  1.44

Values from the calculation:
Electronic total energy ... -6.7431 eV per atom
M_tot ... 35.73 μB per cell
Calculated volume ... 11.0 Å³/atom

Repeat the second record exactly.
The following is a DFT calculation (PBE) of Y2HoAl3FeCu2 after structural relaxation.

Cell: 3.793 7.170 7.170 Å, 119.89 90.00 90.00°
Last column: magnetic moment on the atom in μB.
Positions (direct):
Al: 0.500 0.000 0.240  0.00
Al: 0.500 0.760 0.760  0.00
Al: 0.500 0.240 0.000  0.00
Y: 0.000 0.000 0.583  0.03
Y: 0.000 0.583 0.000  0.03
Ho: 0.000 0.416 0.416  0.06
Cu: 0.500 0.664 0.335  0.02
Cu: 0.500 0.335 0.664  0.02
Fe: 0.000 0.003 0.003  1.77

Values from the calculation:
Electronic total energy ... -5.3241 eV per atom
M_tot ... 2.09 μB per cell
Calculated volume ... 18.8 Å³/atom